A plane-wave DFT calculation with PBE-GGA was carried out for a geometry-optimized La7Tb2Sc2 structure.

abc: 10.0969 8.8090 10.0969
angles: 40.36 125.40 139.64
Closest atoms and distances in Å follow each position.
Element x y z (fractional)
La1 0.3950 0.6501 0.6050  1 Tb 3.25, 7 La 3.43-3.52
Sc1 0.1817 0.5000 0.1817  2 La 3.34, 1 Sc 3.37, 4 Tb 3.43-3.44
La2 0.6050 0.3499 0.3950  1 Tb 3.25, 7 La 3.43-3.52
La3 0.9061 0.2162 0.4882  1 Sc 3.34, 2 Tb 3.42-3.67, 5 La 3.43-3.65
Tb1 0.3086 0.1419 0.6914  3 La 3.25-3.42, 4 Sc 3.43-3.44, 1 Tb 3.56
Tb2 0.6914 0.8581 0.3086  3 La 3.25-3.42, 4 Sc 3.43-3.44, 1 Tb 3.56
La4 0.0939 0.7838 0.5118  1 Sc 3.34, 2 Tb 3.42-3.67, 5 La 3.43-3.65
La5 0.0000 0.0000 0.0000  10 La 3.65-4.05
La6 0.4882 0.7838 0.9061  1 Sc 3.34, 2 Tb 3.42-3.67, 5 La 3.43-3.65
Sc2 0.8183 0.5000 0.8183  2 La 3.34, 1 Sc 3.37, 4 Tb 3.43-3.44
La7 0.5118 0.2162 0.0939  1 Sc 3.34, 2 Tb 3.42-3.67, 5 La 3.43-3.65

The formation energy is 0.16 eV per atom. As for the total DFT energy (no corrections): -4.97 eV/atom. Its offset from the most stable computed form is 38 meV/atom.